Arrangement P

## FeRuBr (meta-GGA SCAN)

Data for a crystal of FeRuBr relaxed with PBEsol.

Summary:
Spin magnetization, μB/cell: 3.76
Volume, Å³ per cell: 47.9
Symmetry: P3m1, No. 156

```
FeRuBr
1.0
3.137 0.000 0.000
-1.568 2.717 0.000
0.000 0.000 5.621
Fe Ru Br
1 1 1
Direct
0.000 0.000 0.000
0.333 0.667 0.729
0.667 0.333 0.348
```


Arrangement Q

## FeRuBr (meta-GGA SCAN)

Data for a crystal of FeRuBr relaxed with PBEsol.

Summary:
Spin magnetization, μB/cell: 19.65
Volume, Å³ per cell: 188.1
Symmetry: F-43m, No. 216

```
FeRuBr
1.0
5.730 0.000 0.000
0.000 5.730 0.000
0.000 0.000 5.730
Fe Ru Br
4 4 4
Direct
0.000 0.000 0.000
0.000 0.500 0.500
0.500 0.000 0.500
0.500 0.500 0.000
0.250 0.250 0.750
0.250 0.750 0.250
0.750 0.250 0.250
0.750 0.750 0.750
0.250 0.250 0.250
0.250 0.750 0.750
0.750 0.250 0.750
0.750 0.750 0.250
```


The structure with the least stability is arrangement Q.


Arrangement P

## FeSb2Br (meta-GGA SCAN)

Data for a crystal of FeSb2Br relaxed with PBEsol.

Summary:
Spin magnetization, μB/cell: 5.68
Volume, Å³ per cell: 181.6
Symmetry: Immm, No. 71

```
FeSb2Br
1.0
3.205 0.000 0.000
0.000 4.963 0.000
0.000 0.000 11.417
Fe Sb Br
2 4 2
Direct
0.000 0.000 0.000
0.500 0.500 0.500
0.000 0.500 0.315
0.000 0.500 0.685
0.500 0.000 0.185
0.500 0.000 0.815
0.000 0.000 0.500
0.500 0.500 0.000
```


Arrangement Q

## FeSb2Br (meta-GGA SCAN)

Data for a crystal of FeSb2Br relaxed with PBEsol.

Summary:
Spin magnetization, μB/cell: 2.95
Volume, Å³ per cell: 90.4
Symmetry: P4mm, No. 99

```
FeSb2Br
1.0
3.493 0.000 0.000
0.000 3.493 0.000
0.000 0.000 7.409
Fe Sb Br
1 2 1
Direct
0.000 0.000 0.000
0.000 0.000 0.391
0.500 0.500 0.135
0.500 0.500 0.730
```


Arrangement R

## FeSb2Br (meta-GGA SCAN)

Data for a crystal of FeSb2Br relaxed with PBEsol.

Summary:
Spin magnetization, μB/cell: 6.45
Volume, Å³ per cell: 198.6
Symmetry: Imm2, No. 44

```
FeSb2Br
1.0
3.195 0.000 0.000
0.000 4.743 0.000
0.000 0.000 13.105
Fe Sb Br
2 4 2
Direct
0.000 0.000 0.000
0.500 0.500 0.500
0.000 0.000 0.540
0.000 0.500 0.674
0.500 0.000 0.174
0.500 0.500 0.040
0.000 0.500 0.355
0.500 0.000 0.855
```


The structure with the least stability is arrangement Q.